1.
Density functional theory data (GGA-PBE) for an optimized crystal structure of Tb4SbRh.

```
data_Tb4SbRh
_symmetry_space_group_name_H-M 'C 1 2/c 1'
_symmetry_Int_Tables_number 15
_cell_length_a 8.9374
_cell_length_b 13.5494
_cell_length_c 6.0615
_cell_angle_alpha 90.00
_cell_angle_beta 115.40
_cell_angle_gamma 90.00
loop_
_symmetry_equiv_pos_as_xyz
'x,y,z'
'-x,-y,-z'
'-x,y,-z+1/2'
'x,-y,z+1/2'
'x+1/2,y+1/2,z'
'-x+1/2,-y+1/2,-z'
'-x+1/2,y+1/2,-z+1/2'
'x+1/2,-y+1/2,z+1/2'
loop_
_atom_site_label
_atom_site_type_symbol
_atom_site_fract_x
_atom_site_fract_y
_atom_site_fract_z
_atom_site_occupancy
Tb1 Tb 0.1143 0.1762 0.0739 1
Tb2 Tb 0.2165 0.4289 0.3298 1
Sb1 Sb 0.0000 0.3744 0.7500 1
Rh1 Rh 0.0000 0.0011 0.2500 1
```

Size of the total moment: 0.00 μB/f.u.
Crystal system: monoclinic
Offset from the most stable computed form: 22 meV/atom
ΔE_f (raw): -0.663 eV/atom
E_tot: -5.66 eV/atom

---

2.
Density functional theory data (GGA-PBE) for an optimized crystal structure of VZnAs2.

```
data_VZnAs2
_symmetry_space_group_name_H-M 'R -3 m'
_symmetry_Int_Tables_number 166
_symmetry_space_group_name_Hall '-R 3 2"'
_cell_length_a 3.1463
_cell_length_b 3.1463
_cell_length_c 25.1287
_cell_angle_alpha 90.00
_cell_angle_beta 90.00
_cell_angle_gamma 120.00
loop_
_atom_site_label
_atom_site_type_symbol
_atom_site_fract_x
_atom_site_fract_y
_atom_site_fract_z
_atom_site_occupancy
V1 V 0.0000 0.0000 0.0000 1
Zn1 Zn 0.0000 0.0000 0.5000 1
As1 As 0.0000 0.0000 0.4010 1
```

Size of the total moment: 0.00 μB/f.u.
Crystal system: trigonal
Energy of formation from the pure elements: -113 meV per atom
E_tot: -5.04 eV/atom

---

3.
Density functional theory data (GGA-PBE) for an optimized crystal structure of Th2TeAs.

```
data_Th2TeAs
_symmetry_space_group_name_H-M 'R -3 m'
_symmetry_Int_Tables_number 166
_symmetry_space_group_name_Hall '-R 3 2"'
_cell_length_a 4.2895
_cell_length_b 4.2895
_cell_length_c 22.1556
_cell_angle_alpha 90.00
_cell_angle_beta 90.00
_cell_angle_gamma 120.00
loop_
_atom_site_label
_atom_site_type_symbol
_atom_site_fract_x
_atom_site_fract_y
_atom_site_fract_z
_atom_site_occupancy
Th1 Th 0.0000 0.0000 0.2394 1
Te1 Te 0.0000 0.0000 0.0000 1
As1 As 0.0000 0.0000 0.5000 1
```

Size of the total moment: 0.00 μB/f.u.
Crystal system: trigonal
Offset from the most stable computed form: 0 meV/atom
ΔE_f (raw): -1.251 eV/atom
E_tot: -6.91 eV/atom